(1)
BaIn12 PBE-GGA relaxed; crystal system = cubic; DFT total energy = -2.6224 eV per atom; formation energy from the elements = 0.05 eV/atom; size of the total moment = 0.000 μB per atom; SG = Fm-3m, No. 225
1.0
8.757 0.000 0.000
4.379 7.584 0.000
4.379 2.528 7.150
In Ba
12 1
direct
0.500 0.160 0.840
0.500 0.160 0.500
0.500 0.840 0.160
0.160 0.840 0.500
0.500 0.500 0.160
0.840 0.500 0.160
0.840 0.500 0.500
0.160 0.500 0.500
0.160 0.500 0.840
0.500 0.840 0.500
0.500 0.500 0.840
0.840 0.160 0.500
0.000 0.000 0.000



(2)
Ba2In PBE-GGA relaxed; crystal system = orthorhombic; DFT total energy = -2.5019 eV per atom; formation energy from the elements = -0.31 eV/atom; size of the total moment = 0.000 μB per atom; SG = Pnma, No. 62
1.0
-5.800 1.202 0.694
-1.531 -3.139 -7.360
-1.518 -9.965 4.566
Ba In
8 4
direct
0.250 0.022 0.693
0.250 0.676 0.426
0.750 0.324 0.574
0.750 0.478 0.193
0.250 0.176 0.074
0.750 0.978 0.307
0.250 0.522 0.807
0.750 0.824 0.926
0.250 0.229 0.395
0.750 0.771 0.605
0.250 0.729 0.105
0.750 0.271 0.895



(3)
Ba4In PBE-GGA relaxed; ΔE to the lowest computed polymorph = 91 meV per atom; crystal system = cubic; DFT total energy = -2.1110 eV per atom; formation energy from the elements = -0.03 eV/atom; size of the total moment = 0.000 μB per atom; SG = Pm-3m, No. 221
1.0
-4.365 1.879 -4.940
2.019 -5.328 -3.810
-4.884 -3.881 2.840
Ba In
4 1
direct
0.000 0.500 0.500
0.000 0.000 0.000
0.500 0.500 0.000
0.500 0.000 0.500
0.500 0.500 0.500



(4)
Ba2In PBE-GGA relaxed; crystal system = trigonal; DFT total energy = -2.3793 eV per atom; formation energy from the elements = -0.18 eV/atom; size of the total moment = 0.000 μB per atom; SG = P-3m1, No. 164
1.0
-3.013 -2.974 -4.123
5.644 -1.365 1.095
-1.310 -2.944 3.080
Ba In
2 1
direct
0.667 0.333 0.712
0.333 0.667 0.288
0.000 0.000 0.000



Look up the DFT total energy of the first one. -2.6224 eV per atom



Among the records above, which one has the lowest formation energy from the elements? number 2



Which of these has the lowest formation energy from the elements? number 2



What is the formula in the third record? Ba4In